Entry 1:
The following is a DFT calculation (GGA-PBE) of a relaxed structure of PrNd6Er3Tm2.

Output
DOS(E_F): 13.616 states/eV per cell
DFT formation energy: 18 kJ/mol of formula units
Symmetry: C2/m, No. 12

Lattice parameters (Å, degrees): 6.265 6.265 11.855 95.04 95.04 120.00
Fractional positions:
Pr 0.000 0.000 0.000
Nd 0.084 0.418 0.252
Nd 0.250 0.250 0.748
Nd 0.418 0.084 0.252
Nd 0.582 0.916 0.748
Nd 0.750 0.750 0.252
Nd 0.916 0.582 0.748
Er 0.167 0.833 0.500
Er 0.500 0.500 0.500
Er 0.833 0.167 0.500
Tm 0.333 0.667 0.000
Tm 0.667 0.333 0.000

Entry 2:
The following is a DFT calculation (GGA-PBE) of a relaxed structure of SrLiZn.

Output
Distance to the lowest polymorph of the same formula: 48 meV/atom
DOS(E_F): 3.514 states/eV per cell
DFT formation energy: -21 kJ/mol of formula units
Symmetry: C2/m, No. 12

Lattice parameters (Å, degrees): 4.424 4.424 10.164 90.07 90.07 59.98
Fractional positions:
Sr 0.166 0.166 0.173
Sr 0.834 0.834 0.827
Li 0.500 0.500 0.385
Li 0.500 0.500 0.615
Zn 0.167 0.167 0.518
Zn 0.833 0.833 0.482